First-principles (PBE) data for a geometry-optimized RbZrTl structure, as listed in the Alexandria database.

It has space group P-1 (No. 2), with a = 3.520 Å, b = 4.145 Å, c = 14.567 Å, α = 90.39°, β = 91.31° and γ = 90.00°. The inequivalent atoms are Rb at (0.217, 0.242, 0.155), Zr at (0.244, 0.249, 0.442) and Tl at (0.266, 0.254, 0.665).

As for the raw total energy: -23.37 eV for the cell shown. As for the density of states at the Fermi level: 0.938 states/eV per atom.